Material: BaCrCd
Method: DFT, PBE
State: relaxed Values from VASP.

Results
* symmetry: F-43m, No. 216
* VASP energy: -3.58 eV per atom

The structure in Quantum ESPRESSO input format:
```
&SYSTEM
  ibrav = 0, nat = 3, ntyp = 3
/
ATOMIC_SPECIES
Ba 137.33 Ba.upf
Cd 112.41 Cd.upf
Cr 52.00 Cr.upf
CELL_PARAMETERS angstrom
-1.1318 -3.0803 4.2650
-2.5837 -4.6734 -0.6659
2.6129 -4.6472 0.7321
ATOMIC_POSITIONS crystal
Ba 0.5000 0.5000 0.5000
Cd 0.7500 0.7500 0.7500
Cr 0.0000 0.0000 0.0000
```